The following is a DFT calculation (PBE) of ZnSeBr after structural relaxation.

Properties
space-group type	Cm (8)
total energy	-7.74	eV/cell
size of the total moment	0.000	μB/atom

Lattice parameters (Å, degrees): 4.0490 4.1448 6.0389 109.93 90.02 119.24
With the nearest neighbours (Å) after each atom.
Fractional positions:
Zn: 0.5269 0.3196 0.2802  1 Br 2.45, 3 Se 2.45-2.56
Se: 0.2318 0.7292 0.4136  3 Zn 2.45-2.56
Br: 0.2359 0.7371 0.8956  1 Zn 2.45